Entry from the Alexandria database: LaPRu3 after structural relaxation (PBE).

As for the spin magnetization: 2.0 μB/f.u. Its calculated density is 7087 kg/m³. The value obtained for the electronic total energy is -27.79 eV per cell. The formation energy from the elements is 2.075 eV/atom.

It has space group Pm-3m (No. 221), with a = 4.8037 Å, b = 4.8037 Å, c = 4.8037 Å, α = 90.00°, β = 90.00° and γ = 90.00°. The inequivalent atoms are La at (0.0000, 0.0000, 0.0000), P at (0.5000, 0.5000, 0.5000) and Ru at (0.0000, 0.0000, 0.5000).

=====

Entry from the Alexandria database: AcTh2Pd after structural relaxation (PBE).

As for the spin magnetization: 0.0 μB/f.u. Its calculated density is 10026 kg/m³. The value obtained for the electronic total energy is -72.07 eV per cell. The formation energy from the elements is 0.029 eV/atom.

It has space group R-3m (No. 166, hexagonal axes), with a = 3.6920 Å, b = 3.6920 Å, c = 33.5674 Å, α = 90.00°, β = 90.00° and γ = 120.00°. The inequivalent atoms are Ac at (0.0000, 0.0000, 0.0000), Th at (0.0000, 0.0000, 0.1057) and Pd at (0.0000, 0.0000, 0.5000).

=====

Please write out number 2 again, unchanged.
Entry from the Alexandria database: AcTh2Pd after structural relaxation (PBE).

As for the spin magnetization: 0.0 μB/f.u. Its calculated density is 10026 kg/m³. The value obtained for the electronic total energy is -72.07 eV per cell. The formation energy from the elements is 0.029 eV/atom.

It has space group R-3m (No. 166, hexagonal axes), with a = 3.6920 Å, b = 3.6920 Å, c = 33.5674 Å, α = 90.00°, β = 90.00° and γ = 120.00°. The inequivalent atoms are Ac at (0.0000, 0.0000, 0.0000), Th at (0.0000, 0.0000, 0.1057) and Pd at (0.0000, 0.0000, 0.5000).

=====

Question: Which of these has the lowest electronic total energy?
Answer: AcTh2Pd